# Zr3MoF, relaxed, DFT GGA+U
data_Zr3MoF
_chemical_formula_sum 'Zr3 Mo1 F1'
_space_group_name_H-M_alt 'P m -3 m'
_space_group_IT_number 221
_space_group_name_Hall '-P 4 2 3'
_cell_length_a 4.591
_cell_length_b 4.591
_cell_length_c 4.591
_cell_angle_alpha 90.00
_cell_angle_beta 90.00
_cell_angle_gamma 90.00
loop_
_atom_site_label
_atom_site_type_symbol
_atom_site_fract_x
_atom_site_fract_y
_atom_site_fract_z
Zr1 Zr 0.000 0.000 0.500
Mo1 Mo 0.500 0.500 0.500
F1 F 0.000 0.000 0.000
# DOS at the Fermi energy = 1.08 states/eV/atom
# E = -35.8 eV for the cell shown